The following is a DFT calculation (GGA-PBE) of a relaxed structure of TbH4Pd2Rh.

a b c (Å): 4.4239 4.4338 5.2069
angles (deg): 114.60 114.25 91.59
Fractional coordinates of all 8 atoms:
Tb 0.0000 0.0000 0.0000
H 0.1701 0.1588 0.5906
H 0.4558 0.8808 0.9070
H 0.5668 0.5759 0.4078
H 0.9751 0.5490 0.0922
Pd 0.5014 0.5016 0.9996
Pd 0.7476 0.2468 0.5001
Rh 0.2427 0.7430 0.4995

Output
The calculation puts the size of the total moment at 0.00 μB/atom. The space-group type is P1. For the uncorrected energy, the calculation gives -39.3 eV/cell.

The following is a DFT calculation (GGA-PBE) of a relaxed structure of TbH8PdRh2.

a b c (Å): 5.9006 5.9006 5.9006
angles (deg): 48.07 48.07 48.07
Fractional coordinates of all 12 atoms:
Tb 0.0000 0.0000 0.0000
H 0.1212 0.4079 0.8230
H 0.1770 0.8788 0.5921
H 0.3167 0.3167 0.3167
H 0.4079 0.8230 0.1212
H 0.5921 0.1770 0.8788
H 0.6833 0.6833 0.6833
H 0.8230 0.1212 0.4079
H 0.8788 0.5921 0.1770
Pd 0.5000 0.5000 0.5000
Rh 0.2099 0.2099 0.2099
Rh 0.7901 0.7901 0.7901

Output
The calculation puts the size of the total moment at 0.00 μB/atom. The space-group type is R-3. For the uncorrected energy, the calculation gives -53.9 eV/cell.

The following is a DFT calculation (GGA-PBE) of a relaxed structure of Tc2HPdRh.

a b c (Å): 3.8836 3.8836 4.0101
angles (deg): 90.00 90.00 90.00
Fractional coordinates of all 5 atoms:
Tc 0.0000 0.5000 0.0000
Tc 0.5000 0.0000 0.0000
H 0.0000 0.0000 0.0000
Pd 0.5000 0.5000 0.5000
Rh 0.0000 0.0000 0.5000

Output
The calculation puts the size of the total moment at 0.00 μB/atom. The space-group type is P4/mmm. For the uncorrected energy, the calculation gives -36.1 eV/cell.

What did the first record say?
The following is a DFT calculation (GGA-PBE) of a relaxed structure of TbH4Pd2Rh.

a b c (Å): 4.4239 4.4338 5.2069
angles (deg): 114.60 114.25 91.59
Fractional coordinates of all 8 atoms:
Tb 0.0000 0.0000 0.0000
H 0.1701 0.1588 0.5906
H 0.4558 0.8808 0.9070
H 0.5668 0.5759 0.4078
H 0.9751 0.5490 0.0922
Pd 0.5014 0.5016 0.9996
Pd 0.7476 0.2468 0.5001
Rh 0.2427 0.7430 0.4995

Output
The calculation puts the size of the total moment at 0.00 μB/atom. The space-group type is P1. For the uncorrected energy, the calculation gives -39.3 eV/cell.

Q: uncorrected energy of number 2 (TbH8PdRh2)?
A: -53.9 eV/cell

Q: What is the uncorrected energy in the second record?
A: -53.9 eV/cell

Q: The highest uncorrected energy belongs to which entry?
A: Tc2HPdRh